Entry from the Alexandria database: a relaxed structure of AcCoO4 (GGA+U).

a b c (Å): 5.106 5.106 6.606
angles (deg): 90.00 90.00 90.00
Space group P4_2/nmc (No. 137, origin choice 2)
Asymmetric unit:
Ac 0.250 0.750 0.250 x2
Co 0.250 0.750 0.750 x2
O 0.017 0.250 0.088 x8

Calculated values
Total magnetization   8.00 μB per cell
ΔE to the lowest computed polymorph   66 kJ/mol of formula units
Calculated volume   14.351 Å³ per atom
E   -6.444 eV per atom